Entry 1:
# Zr2MnInN

A geometry-optimized Zr2MnInN structure (PBE, Alexandria via LeMat-Bulk).

Unit cell a=4.5872 b=4.5872 c=3.9605 alpha=90.00 beta=90.00 gamma=90.00
Atoms (fractional coordinates):
Mn 0.0000 0.0000 0.5000
Zr 0.5000 0.0000 0.0000
Zr 0.0000 0.5000 0.0000
N 0.0000 0.0000 0.0000
In 0.5000 0.5000 0.5000

Calculated values
Crystal system: tetragonal
Symmetry: P4/mmm
Uncorrected energy, eV per atom: -8.1097

***

Entry 2:
# SbPBr4

A geometry-optimized SbPBr4 structure (PBE, Alexandria via LeMat-Bulk).

Unit cell a=6.1765 b=6.1765 c=6.1765 alpha=60.00 beta=60.00 gamma=60.00
Atoms (fractional coordinates):
Sb 0.0000 0.0000 0.0000
Br 0.3749 0.3749 0.8754
Br 0.8754 0.3749 0.3749
Br 0.3749 0.8754 0.3749
Br 0.3749 0.3749 0.3749
P 0.7500 0.7500 0.7500

Calculated values
Crystal system: cubic
Symmetry: F-43m
Uncorrected energy, eV per atom: -1.6709